# 1
# CsK2HgAu

A relaxed structure of CsK2HgAu (GGA-PBE, the Alexandria database).

The structure belongs to space group P4/mmm (No. 123); the cell edges are 6.543, 6.543 and 5.546 Å and the angles 90.00°, 90.00° and 90.00°. The asymmetric unit holds Cs at (0.000, 0.000, 0.000), K at (0.000, 0.500, 0.500), Hg at (0.500, 0.500, 0.000) and Au at (0.500, 0.500, 0.500).

The value obtained for the energy of formation is -67 kJ/mol of formula units. The value obtained for the total energy is -1.465 eV/atom. As for the energy above the lowest structure with this stoichiometry: 0.0 kJ per mole of atoms.

---

# 2
# KTbCu2I6

A relaxed structure of KTbCu2I6 (GGA-PBE, the Alexandria database).

The structure belongs to space group P-1 (No. 2); the cell edges are 7.778, 7.782 and 9.278 Å and the angles 89.99°, 65.25° and 60.03°. The asymmetric unit holds K at (0.000, 0.000, 0.000), Tb at (0.000, 0.500, 0.500), Cu at (0.473, 0.764, 0.290), I at (0.172, 0.730, 0.276), I at (0.179, 0.551, 0.724) and I at (0.454, 0.098, 0.276).

The value obtained for the raw formation energy is -871 meV per atom. The value obtained for the total energy is -3.193 eV/atom.

---

# 3
# InCoNiAs

A relaxed structure of InCoNiAs (GGA-PBE, the Alexandria database).

The structure belongs to space group Imm2 (No. 44); the cell edges are 2.901, 3.512 and 12.261 Å and the angles 90.00°, 90.00° and 90.00°. The asymmetric unit holds In at (0.000, 0.000, 0.000), Co at (0.000, 0.500, 0.310), Ni at (0.000, 0.000, 0.628) and As at (0.000, 0.500, 0.758).

The value obtained for the energy of formation is -22 kJ/mol of formula units. The value obtained for the total energy is -5.126 eV/atom. As for the energy above the lowest structure with this stoichiometry: 3.1 kJ per mole of atoms.

---

no.,total magnetization (μB per atom)
1,0.000
2,0.000
3,0.057